The following is a DFT calculation (PBE) of a relaxed K2SrOs crystal.

Computed properties:
VASP energy ... -9.826 eV for the cell shown
Relative energy among the computed polymorphs ... 1.851 eV/f.u.
Energy relative to the elements ... 509 kJ/mol of formula units
Spin magnetization ... 0.432 μB per atom

a = 5.764 Å, b = 5.764 Å, c = 5.764 Å
α = 60.00°, β = 60.00°, γ = 60.00°
Last column: magnetic moment on the atom in μB.
Fractional coordinates of all 4 atoms:
Sr  0.000  0.000  0.000  -0.05
K  0.250  0.250  0.250  -0.01
K  0.750  0.750  0.750  -0.01
Os  0.500  0.500  0.500  1.70